# LiPrSbRh, relaxed, DFT GGA-PBE
data_LiPrSbRh
_cell_length_a 4.819
_cell_length_b 4.819
_cell_length_c 4.819
_cell_angle_alpha 60.00
_cell_angle_beta 60.00
_cell_angle_gamma 60.00
_symmetry_space_group_name_H-M 'P 1'
_symmetry_Int_Tables_number 1
loop_
_symmetry_equiv_pos_as_xyz
'x,y,z'
loop_
_atom_site_label
_atom_site_type_symbol
_atom_site_fract_x
_atom_site_fract_y
_atom_site_fract_z
Pr1 Pr 0.750 0.750 0.750
Sb1 Sb 0.250 0.250 0.250
Rh1 Rh 0.500 0.500 0.500
Li1 Li 0.000 0.000 0.000
# - Energy relative to the elements, uncorrected: -0.79 eV/atom
# - Space-group type: F-43m (216)

# PmNdSm, relaxed, DFT GGA-PBE
data_PmNdSm
_cell_length_a 3.658
_cell_length_b 5.165
_cell_length_c 6.335
_cell_angle_alpha 114.06
_cell_angle_beta 106.78
_cell_angle_gamma 90.00
_symmetry_space_group_name_H-M 'P 1'
_symmetry_Int_Tables_number 1
loop_
_symmetry_equiv_pos_as_xyz
'x,y,z'
loop_
_atom_site_label
_atom_site_type_symbol
_atom_site_fract_x
_atom_site_fract_y
_atom_site_fract_z
Pm1 Pm 0.334 0.334 0.667
Nd1 Nd 0.667 0.667 0.333
Sm1 Sm 0.000 0.000 0.000
# - Energy relative to the elements: 0.014 eV per atom
# - Energy above the most stable polymorph in this dataset: 3 meV per atom
# - Space-group type: Imm2 (44)

> What is the formula in the second record?

PmNdSm